# 1
VASP calculation (GGA-PBEsol) on a geometry-optimized K2BeAs structure.

Summary:
Density of states at the Fermi level: 2.44 states/eV/f.u.
Energy relative to the lowest polymorph listed for this composition: 0.124 eV/atom
Calculated formation energy: 203.2 kJ/mol of formula units
Magnetic moment: 0.00 μB/atom

Unit cell a=3.2896 b=5.0049 c=6.1358 alpha=90.00 beta=90.00 gamma=90.00
With the nearest neighbours (Å) after each atom.
Space group Pmmm (No. 47)
Inequivalent atoms, fractional coordinates:
K (0.0000, 0.0000, 0.2407) (multiplicity 2)  4 K 2.95-3.29
Be (0.5000, 0.5000, 0.5000) (multiplicity 1)  2 As 3.07, 2 Be 3.29, 8 K 3.39
As (0.5000, 0.5000, 0.0000) (multiplicity 1)  2 Be 3.07, 2 As 3.29, 8 K 3.34


# 2
VASP calculation (GGA-PBEsol) on a geometry-optimized KBeAs2 structure.

Summary:
Density of states at the Fermi level: 1.79 states/eV/f.u.
Calculated formation energy: 148.2 kJ/mol of formula units
Magnetic moment: 0.00 μB/atom

Unit cell a=3.4937 b=5.6059 c=9.4420 alpha=90.00 beta=90.00 gamma=90.00
With the nearest neighbours (Å) after each atom.
Space group Imm2 (No. 44)
Inequivalent atoms, fractional coordinates:
K (0.0000, 0.0000, 0.0000) (multiplicity 2)  4 Be 3.22-3.58, 8 As 3.29-3.47, 2 K 3.49
Be (0.0000, 0.5000, 0.1688) (multiplicity 2)  2 As 2.25
As (0.0000, 0.0000, 0.5192) (multiplicity 2)  2 Be 2.25
As (0.0000, 0.5000, 0.8176) (multiplicity 2)  2 As 2.58


# 3
VASP calculation (GGA-PBEsol) on a geometry-optimized KBe4As structure.

Summary:
Density of states at the Fermi level: 3.74 states/eV/f.u.
Calculated formation energy: 450.3 kJ/mol of formula units
Magnetic moment: 0.00 μB/atom

Unit cell a=6.9703 b=6.9703 c=6.9703 alpha=90.00 beta=90.00 gamma=90.00
With the nearest neighbours (Å) after each atom.
Space group F-43m (No. 216)
Inequivalent atoms, fractional coordinates:
K (0.0000, 0.0000, 0.0000) (multiplicity 4)  12 Be 2.89, 4 As 3.02
Be (0.1233, 0.1233, 0.3767) (multiplicity 16)  6 Be 2.43-2.50
As (0.2500, 0.2500, 0.7500) (multiplicity 4)  12 Be 2.89, 4 K 3.02


# 4
VASP calculation (GGA-PBEsol) on a geometry-optimized K3BeAs structure.

Summary:
Density of states at the Fermi level: 3.12 states/eV/f.u.
Calculated formation energy: 247.3 kJ/mol of formula units
Magnetic moment: 0.00 μB/atom

Unit cell a=6.3035 b=6.3035 c=6.3035 alpha=90.00 beta=90.00 gamma=90.00
With the nearest neighbours (Å) after each atom.
Space group Pm-3m (No. 221)
Inequivalent atoms, fractional coordinates:
K (0.0000, 0.0000, 0.5000) (multiplicity 3)  2 As 3.15
Be (0.5000, 0.5000, 0.5000) (multiplicity 1)  12 K 4.46
As (0.0000, 0.0000, 0.0000) (multiplicity 1)  6 K 3.15


# 5
VASP calculation (GGA-PBEsol) on a geometry-optimized KSrBeAs2 structure.

Summary:
Density of states at the Fermi level: 4.15 states/eV/f.u.
Calculated formation energy: 358.4 kJ/mol of formula units
Magnetic moment: 0.00 μB/atom

Unit cell a=5.6226 b=5.6226 c=5.6886 alpha=90.00 beta=90.00 gamma=90.00
With the nearest neighbours (Å) after each atom.
Space group P4/mmm (No. 123)
Inequivalent atoms, fractional coordinates:
K (0.0000, 0.0000, 0.0000) (multiplicity 1)  4 Be 3.98, 8 As 4.00
Sr (0.5000, 0.5000, 0.5000) (multiplicity 1)  4 As 2.81, 2 Be 2.84
Be (0.5000, 0.5000, 0.0000) (multiplicity 1)  2 Sr 2.84
As (0.0000, 0.5000, 0.5000) (multiplicity 2)  2 Sr 2.81


# 6
VASP calculation (GGA-PBEsol) on a geometry-optimized LiBeAs structure.

Summary:
Density of states at the Fermi level: 0.00 states/eV/f.u.
Calculated formation energy: -124.5 kJ/mol of formula units
Magnetic moment: 0.00 μB/atom

Unit cell a=5.4231 b=5.4231 c=5.4231 alpha=90.00 beta=90.00 gamma=90.00
With the nearest neighbours (Å) after each atom.
Space group F-43m (No. 216)
Inequivalent atoms, fractional coordinates:
Li (0.0000, 0.0000, 0.0000) (multiplicity 4)  4 Be 2.35
Be (0.2500, 0.2500, 0.7500) (multiplicity 4)  4 As 2.35, 4 Li 2.35
As (0.0000, 0.0000, 0.5000) (multiplicity 4)  4 Be 2.35


# 7
VASP calculation (GGA-PBEsol) on a geometry-optimized LiBe2As structure.

Summary:
Density of states at the Fermi level: 0.88 states/eV/f.u.
Energy relative to the lowest polymorph listed for this composition: 0.000 eV/atom
Calculated formation energy: 15.2 kJ/mol of formula units
Magnetic moment: 0.00 μB/atom

Unit cell a=3.5768 b=3.5768 c=3.5414 alpha=90.00 beta=90.00 gamma=90.00
With the nearest neighbours (Å) after each atom.
Space group P4/mmm (No. 123)
Inequivalent atoms, fractional coordinates:
Li (0.0000, 0.0000, 0.0000) (multiplicity 1)  8 Be 2.52, 4 As 2.53
Be (0.0000, 0.5000, 0.5000) (multiplicity 2)  4 As 2.52, 4 Li 2.52, 4 Be 2.53
As (0.5000, 0.5000, 0.0000) (multiplicity 1)  8 Be 2.52, 4 Li 2.53


# 8
VASP calculation (GGA-PBEsol) on a geometry-optimized LiBe2As structure.

Summary:
Density of states at the Fermi level: 0.85 states/eV/f.u.
Energy relative to the lowest polymorph listed for this composition: 0.100 eV/atom
Calculated formation energy: 53.9 kJ/mol of formula units
Magnetic moment: 0.00 μB/atom

Unit cell a=3.2076 b=3.2076 c=4.7361 alpha=90.00 beta=90.00 gamma=90.00
With the nearest neighbours (Å) after each atom.
Space group P4/mmm (No. 123)
Inequivalent atoms, fractional coordinates:
Li (0.0000, 0.0000, 0.0000) (multiplicity 1)  2 As 2.37, 8 Be 2.59
Be (0.5000, 0.5000, 0.2629) (multiplicity 2)  2 Be 2.25-2.49
As (0.0000, 0.0000, 0.5000) (multiplicity 1)  2 Li 2.37, 8 Be 2.53


# 9
VASP calculation (GGA-PBEsol) on a geometry-optimized LiBe2As structure.

Summary:
Density of states at the Fermi level: 0.80 states/eV/f.u.
Energy relative to the lowest polymorph listed for this composition: 0.078 eV/atom
Calculated formation energy: 45.2 kJ/mol of formula units
Magnetic moment: 0.00 μB/atom

Unit cell a=2.6105 b=3.3897 c=5.6397 alpha=90.00 beta=90.00 gamma=90.00
With the nearest neighbours (Å) after each atom.
Space group Pmm2 (No. 25)
Inequivalent atoms, fractional coordinates:
Li (0.0000, 0.0000, 0.0000) (multiplicity 1)  5 Be 2.44-2.70, 2 Li 2.61
Be (0.0000, 0.0000, 0.5678) (multiplicity 1)  4 Be 2.28, 1 Li 2.44
Be (0.5000, 0.5000, 0.7081) (multiplicity 1)  4 Be 2.28, 1 As 2.29
As (0.5000, 0.5000, 0.3017) (multiplicity 1)  1 Be 2.29


# 10
VASP calculation (GGA-PBEsol) on a geometry-optimized LiBeAs2 structure.

Summary:
Density of states at the Fermi level: 1.06 states/eV/f.u.
Energy relative to the lowest polymorph listed for this composition: 0.294 eV/atom
Calculated formation energy: 31.2 kJ/mol of formula units
Magnetic moment: 0.00 μB/atom

Unit cell a=3.3381 b=3.3381 c=5.6518 alpha=90.00 beta=90.00 gamma=90.00
With the nearest neighbours (Å) after each atom.
Space group P4mm (No. 99)
Inequivalent atoms, fractional coordinates:
Li (0.0000, 0.0000, 0.0000) (multiplicity 1)  5 As 2.59-2.63
Be (0.5000, 0.5000, 0.6040) (multiplicity 1)  5 As 2.26-2.39
As (0.0000, 0.0000, 0.5420) (multiplicity 1)  4 Be 2.39, 1 Li 2.59
As (0.5000, 0.5000, 0.2042) (multiplicity 1)  1 Be 2.26


# 11
VASP calculation (GGA-PBEsol) on a geometry-optimized LiBeAs structure.

Summary:
Calculated formation energy: -142.7 kJ/mol of formula units
Magnetic moment: 0.00 μB/atom

Unit cell a=3.7154 b=3.7154 c=6.1503 alpha=90.00 beta=90.00 gamma=90.00
With the nearest neighbours (Å) after each atom.
Space group P4/nmm (No. 129, origin choice 2)
Inequivalent atoms, fractional coordinates:
Li (0.2500, 0.2500, 0.1537) (multiplicity 2)  5 As 2.63-2.73, 4 Be 2.83
Be (0.2500, 0.7500, 0.5000) (multiplicity 2)  4 As 2.32
As (0.2500, 0.2500, 0.7255) (multiplicity 2)  4 Be 2.32


# 12
VASP calculation (GGA-PBEsol) on a geometry-optimized LiBeAs structure.

Summary:
Density of states at the Fermi level: 0.98 states/eV/f.u.
Calculated formation energy: 32.5 kJ/mol of formula units
Magnetic moment: 0.00 μB/atom

Unit cell a=5.4440 b=5.4440 c=5.4440 alpha=90.00 beta=90.00 gamma=90.00
With the nearest neighbours (Å) after each atom.
Space group F-43m (No. 216)
Inequivalent atoms, fractional coordinates:
Li (0.0000, 0.0000, 0.0000) (multiplicity 4)  4 As 2.36, 4 Be 2.36
Be (0.2500, 0.2500, 0.2500) (multiplicity 4)  4 Li 2.36
As (0.2500, 0.2500, 0.7500) (multiplicity 4)  4 Li 2.36


Copy entry 4 word for word.
VASP calculation (GGA-PBEsol) on a geometry-optimized K3BeAs structure.

Summary:
Density of states at the Fermi level: 3.12 states/eV/f.u.
Calculated formation energy: 247.3 kJ/mol of formula units
Magnetic moment: 0.00 μB/atom

Unit cell a=6.3035 b=6.3035 c=6.3035 alpha=90.00 beta=90.00 gamma=90.00
With the nearest neighbours (Å) after each atom.
Space group Pm-3m (No. 221)
Inequivalent atoms, fractional coordinates:
K (0.0000, 0.0000, 0.5000) (multiplicity 3)  2 As 3.15
Be (0.5000, 0.5000, 0.5000) (multiplicity 1)  12 K 4.46
As (0.0000, 0.0000, 0.0000) (multiplicity 1)  6 K 3.15


Which formula does entry 1 have? K2BeAs